{
  "formula": "Fe4PtRh",
  "functional": "GGA-PBE",
  "state": "relaxed",
  "crystal_system": "orthorhombic",
  "dos_ef_per_ev_atom": 0.867,
  "m_tot_mub_per_atom": 2.14,
  "volume_a3_per_atom": 13.16,
  "ef_ev_per_atom": -0.084,
  "relative_energy_ev_per_fu": 0.00,
  "cell": [[2.070, -4.603, 0.000], [2.070, 4.603, 0.000], [0.000, 0.000, 4.145]],
  "species": ["Fe", "Fe", "Fe", "Fe", "Pt", "Rh"],
  "fractional_positions": [[0.175, 0.825, 0.000], [0.324, 0.676, 0.500], [0.676, 0.324, 0.500], [0.825, 0.175, 0.000], [0.000, 0.000, 0.500], [0.500, 0.500, 0.000]]
}